DFT (GGA-PBE) results for an optimized crystal structure of Rb3CeTh2S6.

Values from the calculation:
* crystal system: monoclinic
* M_tot: 2.14 μB/cell
* uncorrected energy: -68.8 eV/cell
* Fermi-level density of states: 12.17 states/eV per cell

a b c (Å): 7.227 7.227 8.142
angles (deg): 98.50 98.50 120.00
Fractional coordinates of all 12 atoms:
Rb 0.000 0.000 0.000
Rb 0.335 0.665 0.000
Rb 0.665 0.335 0.000
Ce 0.500 0.500 0.500
Th 0.167 0.833 0.500
Th 0.833 0.167 0.500
S 0.094 0.433 0.299
S 0.228 0.228 0.700
S 0.433 0.094 0.299
S 0.567 0.906 0.701
S 0.772 0.772 0.300
S 0.906 0.567 0.701

DFT (GGA-PBE) results for an optimized crystal structure of Rb4Ce3ThS8.

Values from the calculation:
* crystal system: trigonal
* M_tot: 3.97 μB/cell
* uncorrected energy: -90.0 eV/cell
* Fermi-level density of states: 22.90 states/eV per cell

a b c (Å): 9.126 9.126 9.126
angles (deg): 55.18 55.18 55.18
Fractional coordinates of all 16 atoms:
Rb 0.000 0.000 0.000
Rb 0.000 0.500 0.500
Rb 0.500 0.000 0.500
Rb 0.500 0.500 0.000
Ce 0.000 0.000 0.500
Ce 0.000 0.500 0.000
Ce 0.500 0.000 0.000
Th 0.500 0.500 0.500
S 0.232 0.232 0.232
S 0.239 0.729 0.729
S 0.271 0.271 0.761
S 0.271 0.761 0.271
S 0.729 0.239 0.729
S 0.729 0.729 0.239
S 0.761 0.271 0.271
S 0.768 0.768 0.768

DFT (GGA-PBE) results for an optimized crystal structure of Rb3Ce2ThS6.

Values from the calculation:
* crystal system: monoclinic
* M_tot: 2.91 μB/cell
* uncorrected energy: -67.8 eV/cell
* Fermi-level density of states: 16.52 states/eV per cell

a b c (Å): 7.306 7.306 8.098
angles (deg): 98.65 98.65 119.99
Fractional coordinates of all 12 atoms:
Rb 0.000 0.000 0.000
Rb 0.332 0.668 0.000
Rb 0.668 0.332 0.000
Ce 0.167 0.833 0.500
Ce 0.833 0.167 0.500
Th 0.500 0.500 0.500
S 0.108 0.434 0.302
S 0.240 0.240 0.698
S 0.434 0.108 0.302
S 0.566 0.892 0.698
S 0.760 0.760 0.302
S 0.892 0.566 0.698